Density functional theory data (GGA-PBE) for a geometry-optimized BaMg2In structure.

abc: 5.105 19.083 10.651
angles: 90.00 90.00 90.00
Space group Cmcm (No. 63)
Asymmetric unit:
1 Ba 0.000 0.000 0.000
2 Ba 0.000 0.201 0.250
3 Mg 0.000 0.192 0.597
4 Mg 0.000 0.396 0.250
5 Mg 0.000 0.442 0.750
6 In 0.000 0.352 0.520

Formation energy = -0.2131 eV per atom
DOS at the Fermi energy = 20.9 states/eV per cell
ρ = 3851 kg/m3
Size of the total moment = 0.0000 μB per atom
Calculated total energy = -69.6 eV/cell